VASP calculation (PBE) on an optimized crystal structure of SrAg2W2.

a = 8.5196 Å, b = 8.5196 Å, c = 2.8161 Å
α = 90.00°, β = 90.00°, γ = 90.00°
Fractional positions:
Sr: 0.0000 0.0000 0.0000
Sr: 0.5000 0.5000 0.0000
Ag: 0.1888 0.3112 0.5000
Ag: 0.3112 0.8112 0.5000
Ag: 0.6888 0.1888 0.5000
Ag: 0.8112 0.6888 0.5000
W: 0.1019 0.6019 0.0000
W: 0.3981 0.1019 0.0000
W: 0.6019 0.8981 0.0000
W: 0.8981 0.3981 0.0000

Summary:
Energy: -5.90 eV per atom
N(E_F): 0.746 states/eV/atom
V: 20.44 Å³ per atom
Energy relative to the lowest polymorph listed for this composition: 0 meV/atom

=====

VASP calculation (PBE) on an optimized crystal structure of Y2TlPb.

a = 6.4462 Å, b = 6.4462 Å, c = 4.7999 Å
α = 111.80°, β = 111.80°, γ = 38.22°
Fractional positions:
Y: 0.0000 0.0000 0.0000
Y: 0.2472 0.2472 0.7466
Tl: 0.4897 0.4897 0.4903
Pb: 0.7587 0.7587 0.2579

Summary:
Energy: -5.18 eV per atom
N(E_F): 0.458 states/eV/atom
V: 28.37 Å³ per atom

=====

VASP calculation (PBE) on an optimized crystal structure of YEr2Pt.

a = 7.0374 Å, b = 9.4936 Å, c = 6.4590 Å
α = 90.00°, β = 90.00°, γ = 90.00°
Fractional positions:
Y: 0.0237 0.2500 0.1280
Y: 0.4763 0.7500 0.6280
Y: 0.5237 0.2500 0.3720
Y: 0.9763 0.7500 0.8720
Er: 0.1800 0.0611 0.6781
Er: 0.1800 0.4389 0.6781
Er: 0.3200 0.5611 0.1781
Er: 0.3200 0.9389 0.1781
Er: 0.6800 0.0611 0.8219
Er: 0.6800 0.4389 0.8219
Er: 0.8200 0.5611 0.3219
Er: 0.8200 0.9389 0.3219
Pt: 0.1107 0.7500 0.4457
Pt: 0.3893 0.2500 0.9457
Pt: 0.6107 0.7500 0.0543
Pt: 0.8893 0.2500 0.5543

Summary:
Energy: -6.14 eV per atom
N(E_F): 1.129 states/eV/atom
V: 26.97 Å³ per atom
Energy relative to the lowest polymorph listed for this composition: 0 meV/atom

=====

The records above give, respectively, calculated density values of 10.90 8.63 9.52 g cm⁻³.